1.
{
  "formula": "K2Li2CdCl6",
  "functional": "PBE",
  "state": "optimized geometry",
  "cell": [[-3.810, -5.474, -3.214], [6.913, 1.112, -1.561], [-0.954, -3.333, 6.808]],
  "species": ["K", "K", "Li", "Li", "Cd", "Cl", "Cl", "Cl", "Cl", "Cl", "Cl"],
  "frac_coords": [[0.708, 0.416, 0.156], [0.292, 0.584, 0.844], [0.938, 0.876, 0.719], [0.062, 0.124, 0.281], [0.500, 0.000, 0.500], [0.733, 0.465, 0.577], [0.197, 0.888, 0.214], [0.309, 0.112, 0.786], [0.803, 0.112, 0.786], [0.691, 0.888, 0.214], [0.267, 0.535, 0.423]],
  "crystal_system": "monoclinic",
  "magmom_total_mub_per_fu": 0.0,
  "formation_energy_uncorrected_kj_per_mol_fu": -1724
}

2.
{
  "formula": "AlGe",
  "functional": "PBE",
  "state": "optimized geometry",
  "cell": [[-0.675, -0.436, 2.926], [3.238, -5.931, -0.137], [4.348, 2.416, -1.813]],
  "species": ["Ge", "Ge", "Al", "Al"],
  "frac_coords": [[0.000, 0.002, 0.000], [0.000, 0.502, 0.500], [0.500, 0.813, 0.500], [0.500, 0.313, 0.000]],
  "crystal_system": "monoclinic",
  "magmom_total_mub_per_fu": 0.0,
  "ef_ev_per_fu": 0.1
}

3.
{
  "formula": "MnNiMo2",
  "functional": "PBE",
  "state": "optimized geometry",
  "cell": [[-1.678, -0.828, -3.864], [0.367, -3.923, -1.704], [-3.457, -2.523, -0.344]],
  "species": ["Mn", "Mo", "Mo", "Ni"],
  "frac_coords": [[0.500, 0.500, 0.500], [0.000, 0.000, 0.000], [0.750, 0.750, 0.750], [0.250, 0.250, 0.250]],
  "crystal_system": "cubic",
  "polymorph_energy_kcal_per_mol_atoms": 2.743,
  "magmom_total_mub_per_fu": 2.9,
  "ef_ev_per_fu": 0.7
}

4.
{
  "formula": "HoTh2Pd6",
  "functional": "PBE",
  "state": "optimized geometry",
  "cell": [[3.350, 0.000, 1.303], [0.000, 7.231, 0.000], [0.652, -3.616, 8.261]],
  "species": ["Ho", "Th", "Th", "Pd", "Pd", "Pd", "Pd", "Pd", "Pd"],
  "frac_coords": [[0.000, 0.000, 0.000], [0.679, 0.660, 0.321], [0.321, 0.340, 0.679], [0.166, 0.350, 0.334], [0.834, 0.016, 0.666], [0.834, 0.650, 0.666], [0.500, 0.316, 0.000], [0.166, 0.984, 0.334], [0.500, 0.684, 0.000]],
  "crystal_system": "orthorhombic",
  "magmom_total_mub_per_fu": 0.0,
  "ef_ev_per_fu": -6.7
}

5.
{
  "formula": "HfNb2Co2",
  "functional": "PBE",
  "state": "optimized geometry",
  "cell": [[7.083, 0.000, 0.000], [0.000, 7.083, 0.000], [0.000, 0.000, 3.155]],
  "species": ["Co", "Co", "Co", "Co", "Nb", "Nb", "Nb", "Nb", "Hf", "Hf"],
  "frac_coords": [[0.375, 0.875, 0.000], [0.875, 0.625, 0.000], [0.625, 0.125, 0.000], [0.125, 0.375, 0.000], [0.172, 0.672, 0.500], [0.672, 0.828, 0.500], [0.828, 0.328, 0.500], [0.328, 0.172, 0.500], [0.000, 0.000, 0.000], [0.500, 0.500, 0.000]],
  "crystal_system": "tetragonal",
  "polymorph_energy_kcal_per_mol_atoms": 0.000,
  "magmom_total_mub_per_fu": 0.0,
  "ef_ev_per_fu": -0.6
}

6.
{
  "formula": "Ho3Ga2Fe3C",
  "functional": "PBE",
  "state": "optimized geometry",
  "cell": [[3.836, 0.000, 0.000], [0.000, 6.834, 0.000], [0.000, -3.417, 5.919]],
  "species": ["Ho", "Ho", "Ho", "Ga", "Ga", "Fe", "Fe", "Fe", "C"],
  "frac_coords": [[0.000, 0.000, 0.366], [0.000, 0.634, 0.634], [0.000, 0.366, 0.000], [0.500, 0.333, 0.667], [0.500, 0.667, 0.333], [0.500, 0.796, 0.000], [0.500, 0.204, 0.204], [0.500, 0.000, 0.796], [0.000, 0.000, 0.000]],
  "crystal_system": "hexagonal",
  "magmom_total_mub_per_fu": 6.0,
  "ef_ev_per_fu": -0.8
}

7.
{
  "formula": "LiTh2Ge3Rh4",
  "functional": "PBE",
  "state": "optimized geometry",
  "cell": [[4.147, 0.000, 0.000], [0.000, 4.147, 0.000], [0.000, 0.000, 10.599]],
  "species": ["Li", "Th", "Th", "Ge", "Ge", "Ge", "Rh", "Rh", "Rh", "Rh"],
  "frac_coords": [[0.500, 0.500, 0.500], [0.500, 0.000, 0.255], [0.000, 0.500, 0.745], [0.000, 0.000, 0.500], [0.500, 0.000, 0.871], [0.000, 0.500, 0.129], [0.500, 0.500, 0.000], [0.000, 0.000, 0.000], [0.500, 0.000, 0.640], [0.000, 0.500, 0.360]],
  "crystal_system": "tetragonal",
  "magmom_total_mub_per_fu": 0.0,
  "ef_ev_per_fu": -8.4
}

8.
{
  "formula": "BeBiCl2F",
  "functional": "PBE",
  "state": "optimized geometry",
  "cell": [[-1.331, -2.029, 3.428], [-3.595, -2.971, -3.154], [2.946, -2.935, -0.594]],
  "species": ["Be", "F", "Bi", "Cl", "Cl"],
  "frac_coords": [[0.000, 0.000, 0.000], [0.500, 0.500, 0.500], [0.000, 0.500, 0.000], [0.000, 0.000, 0.500], [0.500, 0.000, 0.000]],
  "crystal_system": "tetragonal",
  "magmom_total_mub_per_fu": 0.0,
  "formation_energy_uncorrected_kj_per_mol_fu": -296
}